a:
Compound: Tb7Pm3Tm2
Source: Alexandria
Functional: PBE-GGA
Structure: optimized geometry

Unit cell a=6.5015 b=6.5015 c=33.8622 alpha=90.00 beta=90.00 gamma=120.00
Space group R-3m (No. 166, hexagonal axes)
Symmetry-distinct sites (fractional):
1 Tb 0.0000 0.0000 0.0000 [3 per cell]
2 Tb 0.0015 0.5007 0.4165 [18 per cell]
3 Pm 0.0000 0.0000 0.3447 [6 per cell]
4 Pm 0.0000 0.0000 0.5000 [3 per cell]
5 Tm 0.0000 0.0000 0.1667 [6 per cell]

Results
size of the total moment = 0.0 μB/cell
calculated density = 7.577 g/cm3

b:
Compound: Tb7Pm3Tm2
Source: Alexandria
Functional: PBE-GGA
Structure: optimized geometry

Unit cell a=5.839 b=3.565 c=18.795 alpha=90.00 beta=93.07 gamma=90.00
Space group P2/m (No. 10)
Symmetry-distinct sites (fractional):
1 Tb 0.000 0.000 0.000 [1 per cell]
2 Tb 0.191 0.500 0.178 [2 per cell]
3 Tb 0.257 0.500 0.537 [2 per cell]
4 Tb 0.311 0.000 0.855 [2 per cell]
5 Pm 0.220 0.000 0.366 [2 per cell]
6 Pm 0.500 0.500 0.000 [1 per cell]
7 Tm 0.290 0.500 0.706 [2 per cell]

Results
size of the total moment = 0.0 μB/cell
calculated density = 8.015 g/cm3

Energies, relative to the best one, in eV/atom: a 0.202; b 0.000.

a:
Compound: Tb12Pm5Tm2
Source: Alexandria
Functional: PBE-GGA
Structure: optimized geometry

Unit cell a=15.662 b=9.264 c=8.666 alpha=90.00 beta=92.37 gamma=90.00
Space group C2/m (No. 12)
Symmetry-distinct sites (fractional):
1 Tb 0.056 0.000 0.338 [4 per cell]
2 Tb 0.072 0.500 0.876 [4 per cell]
3 Tb 0.130 0.192 0.675 [8 per cell]
4 Tb 0.147 0.320 0.239 [8 per cell]
5 Pm 0.000 0.500 0.500 [2 per cell]
6 Pm 0.207 0.000 0.024 [4 per cell]
7 Pm 0.231 0.500 0.570 [4 per cell]
8 Tm 0.000 0.172 0.000 [4 per cell]

Results
size of the total moment = 0.0 μB/cell
calculated density = 7.851 g/cm3

b:
Compound: Tb12Pm5Tm2
Source: Alexandria
Functional: PBE-GGA
Structure: optimized geometry

Unit cell a=6.995 b=8.283 c=11.537 alpha=74.20 beta=83.12 gamma=77.31
Space group P-1 (No. 2)
Symmetry-distinct sites (fractional):
1 Tb 0.037 0.372 0.415 [2 per cell]
2 Tb 0.075 0.594 0.099 [2 per cell]
3 Tb 0.217 0.777 0.292 [2 per cell]
4 Tb 0.286 0.194 0.693 [2 per cell]
5 Tb 0.415 0.206 0.226 [2 per cell]
6 Tb 0.418 0.411 0.891 [2 per cell]
7 Pm 0.068 0.821 0.797 [2 per cell]
8 Pm 0.256 0.998 0.997 [2 per cell]
9 Pm 0.500 0.500 0.500 [1 per cell]
10 Tm 0.273 0.940 0.509 [2 per cell]

Results
size of the total moment = 0.0 μB/cell
calculated density = 7.876 g/cm3

Energies, relative to the best one, in eV/atom: a 0.006; b 0.000.

a:
Compound: TbPm2Tm7
Source: Alexandria
Functional: PBE-GGA
Structure: optimized geometry

Unit cell a=6.104 b=7.047 c=7.886 alpha=77.14 beta=75.03 gamma=73.33
Space group P-1 (No. 2)
Symmetry-distinct sites (fractional):
1 Tb 0.000 0.000 0.000 [1 per cell]
2 Pm 0.201 0.299 0.601 [2 per cell]
3 Tm 0.000 0.500 0.000 [1 per cell]
4 Tm 0.200 0.800 0.601 [2 per cell]
5 Tm 0.399 0.101 0.198 [2 per cell]
6 Tm 0.400 0.600 0.199 [2 per cell]

Results
size of the total moment = 0.0 μB/cell
calculated density = 8.744 g/cm3

b:
Compound: TbPm2Tm7
Source: Alexandria
Functional: PBE-GGA
Structure: optimized geometry

Unit cell a=6.413 b=28.557 c=3.496 alpha=90.00 beta=90.00 gamma=90.00
Space group Cmmm (No. 65)
Symmetry-distinct sites (fractional):
1 Tb 0.000 0.000 0.000 [2 per cell]
2 Pm 0.000 0.291 0.500 [4 per cell]
3 Tm 0.000 0.184 0.000 [4 per cell]
4 Tm 0.000 0.500 0.500 [2 per cell]
5 Tm 0.247 0.098 0.500 [8 per cell]

Results
size of the total moment = 0.0 μB/cell
calculated density = 8.463 g/cm3

Energies, relative to the best one, in eV/atom: a 0.000; b 0.139.

a:
Compound: Tb8Pm2Tm
Source: Alexandria
Functional: PBE-GGA
Structure: optimized geometry

Unit cell a=9.028 b=16.168 c=5.894 alpha=90.00 beta=123.01 gamma=90.00
Space group C2/m (No. 12)
Symmetry-distinct sites (fractional):
1 Tb 0.000 0.206 0.000 [4 per cell]
2 Tb 0.075 0.500 0.796 [4 per cell]
3 Tb 0.214 0.116 0.675 [8 per cell]
4 Pm 0.000 0.307 0.500 [4 per cell]
5 Tm 0.000 0.000 0.000 [2 per cell]

Results
size of the total moment = 0.0 μB/cell
calculated density = 7.965 g/cm3

b:
Compound: Tb8Pm2Tm
Source: Alexandria
Functional: PBE-GGA
Structure: optimized geometry

Unit cell a=18.200 b=5.043 c=7.987 alpha=90.00 beta=105.27 gamma=90.00
Space group C2/m (No. 12)
Symmetry-distinct sites (fractional):
1 Tb 0.045 0.000 0.228 [4 per cell]
2 Tb 0.090 0.500 0.953 [4 per cell]
3 Tb 0.135 0.000 0.679 [4 per cell]
4 Tb 0.181 0.500 0.409 [4 per cell]
5 Pm 0.227 0.000 0.137 [4 per cell]
6 Tm 0.000 0.500 0.500 [2 per cell]

Results
size of the total moment = 0.0 μB/cell
calculated density = 8.126 g/cm3

Energies, relative to the best one, in eV/atom: a 0.138; b 0.000.

a:
Compound: TbPm7Tm3
Source: Alexandria
Functional: PBE-GGA
Structure: optimized geometry

Unit cell a=7.1544 b=7.1544 c=8.6310 alpha=90.00 beta=90.00 gamma=120.00
Space group P3m1 (No. 156)
Symmetry-distinct sites (fractional):
1 Tb 0.0000 0.0000 0.0000 [1 per cell]
2 Pm 0.0015 0.5008 0.9864 [3 per cell]
3 Pm 0.3317 0.1658 0.3347 [3 per cell]
4 Pm 0.3333 0.6667 0.3198 [1 per cell]
5 Tm 0.1662 0.3323 0.6616 [3 per cell]

Results
size of the total moment = 0.0 μB/cell
calculated density = 7.295 g/cm3

b:
Compound: TbPm7Tm3
Source: Alexandria
Functional: PBE-GGA
Structure: optimized geometry

Unit cell a=19.087 b=7.178 c=12.487 alpha=90.00 beta=116.02 gamma=90.00
Space group C2/c (No. 15)
Symmetry-distinct sites (fractional):
1 Tb 0.000 0.000 0.000 [4 per cell]
2 Pm 0.000 0.225 0.250 [4 per cell]
3 Pm 0.160 0.494 0.774 [8 per cell]
4 Pm 0.168 0.248 0.028 [8 per cell]
5 Pm 0.168 0.248 0.529 [8 per cell]
6 Tm 0.000 0.500 0.000 [4 per cell]
7 Tm 0.170 0.003 0.276 [8 per cell]

Results
size of the total moment = 0.0 μB/cell
calculated density = 7.262 g/cm3

Energies, relative to the best one, in eV/atom: a 0.006; b 0.000.

a:
Compound: Tb2Pm5Tm4
Source: Alexandria
Functional: PBE-GGA
Structure: optimized geometry

Unit cell a=11.851 b=7.004 c=8.992 alpha=90.00 beta=102.98 gamma=90.00
Space group C2/m (No. 12)
Symmetry-distinct sites (fractional):
1 Tb 0.170 0.000 0.159 [4 per cell]
2 Pm 0.000 0.000 0.500 [2 per cell]
3 Pm 0.053 0.278 0.822 [8 per cell]
4 Tm 0.151 0.500 0.496 [4 per cell]
5 Tm 0.209 0.500 0.151 [4 per cell]

Results
size of the total moment = 0.0 μB/cell
calculated density = 7.848 g/cm3

b:
Compound: Tb2Pm5Tm4
Source: Alexandria
Functional: PBE-GGA
Structure: optimized geometry

Unit cell a=3.511 b=9.059 c=23.413 alpha=90.00 beta=90.00 gamma=90.00
Space group Immm (No. 71)
Symmetry-distinct sites (fractional):
1 Tb 0.000 0.000 0.231 [4 per cell]
2 Pm 0.000 0.200 0.355 [8 per cell]
3 Pm 0.000 0.500 0.000 [2 per cell]
4 Tm 0.000 0.000 0.096 [4 per cell]
5 Tm 0.000 0.315 0.500 [4 per cell]

Results
size of the total moment = 0.0 μB/cell
calculated density = 7.665 g/cm3

Energies, relative to the best one, in eV/atom: a 0.000; b 0.022.